The following is a DFT calculation (GGA-PBE) of crystalline Ag3HgO at its relaxed geometry.

Computed properties:
For the total moment, the calculation gives 0.00 μB/f.u. The calculation puts the formation energy without anion corrections at 1142 meV/atom. The volume is 143 Å³ per cell. The value obtained for the energy above the lowest structure with this stoichiometry is 5.45 eV per formula unit. The calculation puts the total energy at -8.1 eV for the cell shown.

a b c (Å): 5.2319 5.2319 5.2319
angles (deg): 90.00 90.00 90.00
Closest atoms and distances in Å follow each position.
Fractional coordinates of all 5 atoms:
O (0.5000, 0.5000, 0.5000)  12 Ag 3.70
Hg (0.0000, 0.0000, 0.0000)  6 Ag 2.62
Ag (0.0000, 0.5000, 0.0000)  2 Hg 2.62
Ag (0.0000, 0.0000, 0.5000)  2 Hg 2.62
Ag (0.5000, 0.0000, 0.0000)  2 Hg 2.62